# 1
The following is a meta-GGA SCAN calculation of a PBEsol-optimized structure of MoPtRh, from Alexandria.

```
3
Lattice="0.0000 2.9501 2.9501 2.9501 0.0000 2.9501 2.9501 2.9501 0.0000" Properties=species:S:1:pos:R:3 pbc="T T T"
Mo 0.0000 0.0000 0.0000
Pt 2.9501 2.9501 2.9501
Rh 4.4251 4.4251 4.4251
```

Properties
Total energy ... -137.696 eV/cell
Size of the total moment ... 0.0 μB per formula unit
E above lowest polymorph ... 217 kJ/mol of formula units
Formation energy from the elements ... 1.15 eV per formula unit
Space group ... F-43m (216)
V ... 17.12 A^3/atom

---

# 2
The following is a meta-GGA SCAN calculation of a PBEsol-optimized structure of MoPt2Rh, from Alexandria.

```
4
Lattice="-1.9340 1.9340 3.8807 1.9340 -1.9340 3.8807 1.9340 1.9340 -3.8807" Properties=species:S:1:pos:R:3 pbc="T T T"
Mo 0.0000 0.0000 0.0000
Pt 1.9340 0.0000 1.9404
Pt 0.0000 0.0000 3.8807
Rh 0.0000 1.9340 1.9404
```

Properties
Total energy ... -210.290 eV/cell
Size of the total moment ... 0.0 μB per formula unit
E above lowest polymorph ... 0 kJ/mol of formula units
Formation energy from the elements ... -1.25 eV per formula unit
Space group ... I-4m2 (119)
V ... 14.52 A^3/atom

---

# 3
The following is a meta-GGA SCAN calculation of a PBEsol-optimized structure of Mo2PtRh, from Alexandria.

```
4
Lattice="2.7129 0.0000 0.0000 0.0000 4.4120 0.0000 0.0000 0.0000 4.8448" Properties=species:S:1:pos:R:3 pbc="T T T"
Mo 0.0000 0.0000 0.0000
Mo 0.0000 2.2060 1.6177
Pt 1.3565 2.2060 4.0326
Rh 1.3565 0.0000 2.4024
```

Properties
Total energy ... -175.134 eV/cell
Size of the total moment ... 0.0 μB per formula unit
E above lowest polymorph ... 0 kJ/mol of formula units
Formation energy from the elements ... -1.40 eV per formula unit
Space group ... Pmm2 (25)
V ... 14.50 A^3/atom

---

# 4
The following is a meta-GGA SCAN calculation of a PBEsol-optimized structure of MoPt2Rh, from Alexandria.

```
4
Lattice="2.7226 0.0000 0.0000 0.0000 3.8834 0.0000 0.0000 0.0000 5.4980" Properties=species:S:1:pos:R:3 pbc="T T T"
Mo 0.0000 0.0000 0.0000
Pt 0.0000 0.0000 2.8176
Pt 1.3613 1.9417 1.3853
Rh 1.3613 1.9417 4.2160
```

Properties
Total energy ... -210.178 eV/cell
Size of the total moment ... 0.0 μB per formula unit
E above lowest polymorph ... 11 kJ/mol of formula units
Formation energy from the elements ... -1.14 eV per formula unit
Space group ... Pmm2 (25)
V ... 14.53 A^3/atom

---

# 5
The following is a meta-GGA SCAN calculation of a PBEsol-optimized structure of Mo2PtRh, from Alexandria.

```
4
Lattice="-1.9090 1.9090 3.9837 1.9090 -1.9090 3.9837 1.9090 1.9090 -3.9837" Properties=species:S:1:pos:R:3 pbc="T T T"
Mo 1.9090 0.0000 1.9919
Mo 0.0000 1.9090 1.9919
Pt 0.0000 0.0000 0.0000
Rh 0.0000 0.0000 3.9837
```

Properties
Total energy ... -175.041 eV/cell
Size of the total moment ... 0.0 μB per formula unit
E above lowest polymorph ... 9 kJ/mol of formula units
Formation energy from the elements ... -1.31 eV per formula unit
Space group ... I4/mmm (139)
V ... 14.52 A^3/atom

---

# 6
The following is a meta-GGA SCAN calculation of a PBEsol-optimized structure of Mo2PtRh, from Alexandria.

```
4
Lattice="4.5258 -1.3536 0.0000 4.5258 1.3536 0.0000 -0.7957 0.0000 4.7836" Properties=species:S:1:pos:R:3 pbc="T T T"
Mo 0.0000 0.0000 0.0000
Mo 1.6823 0.0000 3.4030
Pt 4.1317 0.0000 2.3406
Rh 6.5830 0.0000 1.0124
```

Properties
Total energy ... -174.579 eV/cell
Size of the total moment ... 0.0 μB per formula unit
E above lowest polymorph ... 54 kJ/mol of formula units
Formation energy from the elements ... -0.84 eV per formula unit
Space group ... Cm (8)
V ... 14.65 A^3/atom